## MgTcCl3 (GGA-PBE)

Data for a relaxed structure of MgTcCl3.

The total DFT energy (no corrections) comes out at -3.71 eV per atom. For the energy above the most stable polymorph in this dataset, the calculation gives 87 meV per atom. The energy relative to the elements, uncorrected is -0.21 eV/atom. The density of states at the Fermi level is 0.65 states/eV per atom. The calculated volume is 120.7 Å³ per cell.

The structure belongs to space group Pm-3m (No. 221); the cell edges are 4.942, 4.942 and 4.942 Å and the angles 90.00°, 90.00° and 90.00°. The asymmetric unit holds Mg at (0.000, 0.000, 0.000), Tc at (0.500, 0.500, 0.500) and Cl at (0.000, 0.500, 0.500).